VASP calculation (PBE) on a relaxed structure of LuAlGe.

Cell and atoms, written as POSCAR:
```
LuAlGe
1.0
0.000 3.334 3.334
3.334 0.000 3.334
3.334 3.334 0.000
Al Ge Lu
1 1 1
direct
0.250 0.250 0.250 Al
0.750 0.750 0.750 Ge
0.000 0.000 0.000 Lu
```

Properties
Electronic total energy ... -4.30 eV per atom



VASP calculation (PBE) on a relaxed structure of LuAlGe.

Cell and atoms, written as POSCAR:
```
LuAlGe
1.0
-1.889 5.662 -3.315
-2.623 0.860 2.963
6.044 4.402 4.074
Al Ge Lu
4 4 4
direct
0.839 0.750 0.073 Al
0.339 0.750 0.427 Al
0.661 0.250 0.573 Al
0.161 0.250 0.927 Al
0.224 0.750 0.123 Ge
0.724 0.750 0.377 Ge
0.276 0.250 0.623 Ge
0.776 0.250 0.877 Ge
0.523 0.250 0.173 Lu
0.023 0.250 0.327 Lu
0.977 0.750 0.673 Lu
0.477 0.750 0.827 Lu
```

Properties
Electronic total energy ... -4.83 eV per atom



VASP calculation (PBE) on a relaxed structure of Lu4AlNi2Ge4.

Cell and atoms, written as POSCAR:
```
Lu4AlNi2Ge4
1.0
-5.133 -2.168 5.439
-1.605 -4.217 6.346
2.868 5.855 2.072
Al Ge Lu Ni
1 4 4 2
direct
0.000 0.000 0.000 Al
0.197 0.197 0.258 Ge
0.936 0.936 0.329 Ge
0.064 0.064 0.671 Ge
0.803 0.803 0.742 Ge
0.346 0.346 0.062 Lu
0.590 0.590 0.390 Lu
0.410 0.410 0.610 Lu
0.654 0.654 0.938 Lu
0.782 0.782 0.359 Ni
0.218 0.218 0.641 Ni
```

Properties
Electronic total energy ... -5.45 eV per atom



VASP calculation (PBE) on a relaxed structure of NdMg2Al3Ge2Pd.

Cell and atoms, written as POSCAR:
```
NdMg2Al3Ge2Pd
1.0
4.217 0.000 0.000
0.000 5.976 3.428
0.000 -5.976 3.428
Al Ge Mg Nd Pd
3 2 2 1 1
direct
0.500 0.999 0.234 Al
0.500 0.765 0.765 Al
0.500 0.234 0.999 Al
0.500 0.672 0.319 Ge
0.500 0.319 0.672 Ge
0.000 0.597 0.005 Mg
0.000 0.005 0.597 Mg
0.000 0.428 0.428 Nd
0.000 0.982 0.982 Pd
```

Properties
Electronic total energy ... -4.25 eV per atom



Result set for ρ: 6.2; 7.7; 9.3; 5.1 g/cm3, one per record in the order listed.
Result set for calculated volume: 74.1; 235.4; 203.6; 172.8 Å³/cell, one per record in the order listed.
Result set for magnetic moment: 0.0001; 0.0008; 0.0001; 0.0004 μB/atom, one per record in the order listed.